Record 1
Compound: BeCoNi2
Source: Alexandria
Functional: PBE
Structure: optimized geometry

## Properties
- Space-group type: C2/m
- Total magnetic moment: 2.1 μB per formula unit
- Final energy: -5.703 eV per atom

Cell lengths 4.2038, 4.2038, 4.1739 Å; angles 78.39, 78.39, 34.08 degrees
Fractional positions:
Ni: 0.9922 0.9922 0.0068
Ni: 0.5078 0.5078 0.4932
Co: 0.7500 0.7500 0.7500
Be: 0.2500 0.2500 0.2500

Record 2
Compound: HRhSCl2
Source: Alexandria
Functional: PBE
Structure: optimized geometry

## Properties
- Energy above the most stable polymorph in this dataset: 0.00 eV/f.u.
- Space-group type: P4/mmm
- Total magnetic moment: 0.9 μB per formula unit

Cell lengths 5.0002, 5.0002, 4.3601 Å; angles 90.00, 90.00, 90.00 degrees
Fractional positions:
Rh: 0.0000 0.0000 0.0000
Cl: 0.0000 0.5000 0.0000
S: 0.0000 0.0000 0.5000
Cl: 0.5000 0.0000 0.0000
H: 0.5000 0.5000 0.5000

Record 3
Compound: Ho2AlRh3
Source: Alexandria
Functional: PBE
Structure: optimized geometry

## Properties
- Space-group type: R-3m
- Total magnetic moment: 0.0 μB per formula unit
- Final energy: -6.766 eV per atom

Cell lengths 5.0864, 5.0864, 5.0864 Å; angles 67.19, 67.19, 67.19 degrees
Fractional positions:
Rh: 0.0000 0.5000 0.0000
Ho: 0.3690 0.3690 0.3690
Rh: 0.0000 0.0000 0.5000
Ho: 0.6310 0.6310 0.6310
Al: 0.0000 0.0000 0.0000
Rh: 0.5000 0.0000 0.0000